VASP calculation (GGA-PBE) on a relaxed BaIrPt2 crystal.

Summary:
**Theoretical density**: 14.6 g/cm3

CIF file:
```
data_BaIrPt2
_cell_length_a 2.974
_cell_length_b 5.225
_cell_length_c 10.516
_cell_angle_alpha 90.00
_cell_angle_beta 90.00
_cell_angle_gamma 90.00
_symmetry_space_group_name_H-M 'I m m 2'
_symmetry_Int_Tables_number 44
_symmetry_space_group_name_Hall 'I 2 -2'
loop_
_atom_site_label
_atom_site_fract_x
_atom_site_fract_y
_atom_site_fract_z
Ba1 0.000 0.000 0.000
Ir1 0.000 0.500 0.777
Pt1 0.000 0.000 0.493
Pt2 0.000 0.500 0.220
```

***

VASP calculation (GGA-PBE) on a relaxed BaIr2Pt crystal.

Summary:
**Theoretical density**: 14.5 g/cm3

CIF file:
```
data_BaIr2Pt
_cell_length_a 3.244
_cell_length_b 3.244
_cell_length_c 7.796
_cell_angle_alpha 90.00
_cell_angle_beta 90.00
_cell_angle_gamma 90.00
_symmetry_space_group_name_H-M 'P 4/m m m'
_symmetry_Int_Tables_number 123
_symmetry_space_group_name_Hall '-P 4 2'
loop_
_atom_site_label
_atom_site_fract_x
_atom_site_fract_y
_atom_site_fract_z
Ba1 0.000 0.000 0.000
Ir1 0.500 0.500 0.320
Pt1 0.000 0.000 0.500
```

***

VASP calculation (GGA-PBE) on a relaxed BaIrPt2 crystal.

Summary:
**Theoretical density**: 12.6 g/cm3

CIF file:
```
data_BaIrPt2
_cell_length_a 3.782
_cell_length_b 5.505
_cell_length_c 9.093
_cell_angle_alpha 90.00
_cell_angle_beta 90.00
_cell_angle_gamma 90.00
_symmetry_space_group_name_H-M 'I m m m'
_symmetry_Int_Tables_number 71
_symmetry_space_group_name_Hall '-I 2 2'
loop_
_atom_site_label
_atom_site_fract_x
_atom_site_fract_y
_atom_site_fract_z
Ba1 0.000 0.000 0.000
Ir1 0.000 0.000 0.500
Pt1 0.000 0.500 0.190
```

***

In the order shown, the computed raw total energy values come out to -5.4555, -5.9728, -5.4666 eV per atom.